[1]
This record from Alexandria describes a relaxed structure of Sc3CuIr2. The functional is PBE-GGA.

```
Sc3CuIr2
1.0
-0.425 -2.766 -1.459
4.228 0.348 -1.891
5.457 -6.632 10.980
Sc Ir Cu
6 4 2
direct
0.501 0.500 0.000
0.499 0.500 0.668
0.499 0.000 0.500
0.501 0.000 0.168
0.499 0.500 0.332
0.501 0.000 0.832
0.999 0.000 0.666
0.001 0.500 0.166
0.999 0.000 0.334
0.001 0.500 0.834
0.999 0.500 0.500
0.001 0.000 0.000
```

Space group ... Pmmn, No. 59
Formation energy ... -0.80 eV/atom



[2]
This record from Alexandria describes a relaxed structure of Sc2CuIr. The functional is PBE-GGA.

```
Sc2CuIr
1.0
-1.475 2.939 3.264
-2.840 0.145 -1.415
-1.459 -3.575 2.560
Sc Ir Cu
2 1 1
direct
0.000 0.125 0.875
0.500 0.125 0.375
0.500 0.625 0.875
0.000 0.625 0.375
```

Space group ... P4/mmm, No. 123
Formation energy ... -0.67 eV/atom



[3]
This record from Alexandria describes a relaxed structure of Sc2CuIr. The functional is PBE-GGA.

```
Sc2CuIr
1.0
-2.637 -4.125 -1.785
0.349 -4.606 -2.413
0.246 -3.073 3.521
Sc Ir Cu
2 1 1
direct
0.765 0.765 0.696
0.979 0.979 0.066
0.237 0.237 0.207
0.519 0.519 0.531
```

Space group ... Cm, No. 8
Formation energy ... -0.51 eV/atom



[4]
This record from Alexandria describes a relaxed structure of ScCuIr3. The functional is PBE-GGA.

```
ScCuIr3
1.0
4.485 0.000 0.000
0.000 4.485 0.000
0.000 0.000 4.485
Ir Cu Sc
3 1 1
direct
0.500 0.000 0.000
0.000 0.500 0.000
0.000 0.000 0.500
0.000 0.000 0.000
0.500 0.500 0.500
```

Distance to the lowest polymorph of the same formula ... 0.000 eV/atom
Space group ... Pm-3m, No. 221
Formation energy ... 0.80 eV/atom



[5]
This record from Alexandria describes a relaxed structure of ScCu2Ir2. The functional is PBE-GGA.

```
ScCu2Ir2
1.0
-2.785 -0.334 2.311
0.044 -3.604 -0.468
2.531 -2.522 5.544
Ir Sc Cu
2 1 2
direct
0.602 0.602 0.796
0.398 0.398 0.204
0.000 0.000 0.000
0.750 0.250 0.500
0.250 0.750 0.500
```

Distance to the lowest polymorph of the same formula ... 0.055 eV/atom
Space group ... I4/mmm, No. 139
Formation energy ... -0.09 eV/atom



[6]
This record from Alexandria describes a relaxed structure of Sc6Cu2Ir. The functional is PBE-GGA.

```
Sc6Cu2Ir
1.0
7.251 0.312 -2.634
-3.660 6.344 -2.442
-0.069 -0.312 7.714
Cu Sc Ir
4 12 2
direct
0.500 0.369 0.869
0.358 0.000 0.358
0.642 0.000 0.642
0.500 0.631 0.131
0.191 0.255 0.446
0.809 0.255 0.064
0.279 0.607 0.328
0.721 0.393 0.672
0.439 0.261 0.178
0.809 0.745 0.554
0.279 0.950 0.672
0.918 0.739 0.178
0.721 0.050 0.328
0.082 0.261 0.822
0.561 0.739 0.822
0.191 0.745 0.936
0.000 0.000 0.000
0.000 0.500 0.500
```

Space group ... Immm, No. 71
Formation energy ... -0.38 eV/atom



[7]
This record from Alexandria describes a relaxed structure of Sc5Cu4Ir. The functional is PBE-GGA.

```
Sc5Cu4Ir
1.0
-2.629 -0.515 1.822
-1.331 -1.714 -2.405
6.820 -13.678 5.972
Sc Cu Ir
5 4 1
direct
0.500 0.500 0.299
0.500 0.500 0.099
0.500 0.500 0.901
0.500 0.500 0.701
0.500 0.500 0.500
0.000 0.000 0.599
0.000 0.000 0.800
0.000 0.000 0.200
0.000 0.000 0.401
0.000 0.000 0.000
```

Space group ... P4/mmm, No. 123
Formation energy ... -0.43 eV/atom



[8]
This record from Alexandria describes a relaxed structure of Sc2CuIr. The functional is PBE-GGA.

```
Sc2CuIr
1.0
3.172 0.000 0.000
0.000 4.129 0.000
0.000 0.000 5.515
Sc Ir Cu
2 1 1
direct
0.500 0.500 0.298
0.000 0.000 0.939
0.500 0.500 0.801
0.000 0.000 0.462
```

Space group ... Pmm2, No. 25
Formation energy ... -0.39 eV/atom